Record 1
First-principles (GGA-PBE) data for an optimized crystal structure of Nb2OsPt, as listed in Alexandria.

Cell and atoms, written as CIF:
```
data_Nb2OsPt
_space_group_name_H-M_alt 'P 4/m m m'
_space_group_IT_number 123
_space_group_name_Hall '-P 4 2'
_cell_length_a 4.0829
_cell_length_b 4.0829
_cell_length_c 3.9184
_cell_angle_alpha 90.00
_cell_angle_beta 90.00
_cell_angle_gamma 90.00
loop_
_atom_site_label
_atom_site_type_symbol
_atom_site_fract_x
_atom_site_fract_y
_atom_site_fract_z
Nb1 Nb 0.0000 0.5000 0.0000
Os1 Os 0.0000 0.0000 0.5000
Pt1 Pt 0.5000 0.5000 0.5000
```

Output
- calculated total energy (eV per cell) = -38.920
- Fermi-level density of states (states/eV/f.u.) = 4.77
- energy of formation (eV per formula unit) = -1.5
- total magnetic moment (μB/atom) = 0.000

---

Record 2
First-principles (GGA-PBE) data for an optimized crystal structure of NbOsPt2, as listed in Alexandria.

Cell and atoms, written as CIF:
```
data_NbOsPt2
_space_group_name_H-M_alt 'I -4 2 d'
_space_group_IT_number 122
_space_group_name_Hall 'I -4 2bw'
_cell_length_a 3.8121
_cell_length_b 3.8121
_cell_length_c 18.7753
_cell_angle_alpha 90.00
_cell_angle_beta 90.00
_cell_angle_gamma 90.00
loop_
_atom_site_label
_atom_site_type_symbol
_atom_site_fract_x
_atom_site_fract_y
_atom_site_fract_z
Nb1 Nb 0.0000 0.0000 0.0000
Os1 Os 0.0000 0.0000 0.5000
Pt1 Pt 0.2406 0.2500 0.6250
```

Output
- calculated total energy (eV per cell) = -132.336
- Fermi-level density of states (states/eV/f.u.) = 3.88
- energy of formation (eV per formula unit) = 0.3
- distance to the lowest polymorph of the same formula (meV/atom) = 0
- total magnetic moment (μB/atom) = 0.000